# 1
{
  "formula": "NaAcCu2Sb2",
  "functional": "GGA-PBE",
  "state": "optimized geometry",
  "energy_ev_per_cell": -25.1,
  "formation_energy_uncorrected_ev_per_atom": -0.53,
  "density_g_cm3": 6.76,
  "lattice_angstrom": [[-1.704, -2.207, -3.575], [4.430, -0.264, 0.926], [-1.436, -6.858, 4.919]],
  "species": ["Ac", "Sb", "Sb", "Cu", "Cu", "Na"],
  "frac_coords": [[0.000, 0.000, 0.500], [0.333, 0.667, 0.243], [0.667, 0.333, 0.757], [0.333, 0.667, 0.757], [0.667, 0.333, 0.243], [0.000, 0.000, 0.000]]
}

=====

# 2
{
  "formula": "NaAcCuSb",
  "functional": "GGA-PBE",
  "state": "optimized geometry",
  "energy_ev_per_cell": -15.1,
  "formation_energy_uncorrected_ev_per_atom": -0.37,
  "density_g_cm3": 6.37,
  "lattice_angstrom": [[5.434, 0.000, 0.000], [2.717, 4.706, 0.000], [2.717, 1.569, 4.437]],
  "species": ["Sb", "Ac", "Cu", "Na"],
  "frac_coords": [[0.000, 0.000, 0.000], [0.250, 0.250, 0.250], [0.500, 0.500, 0.500], [0.750, 0.750, 0.750]]
}

=====

# 3
{
  "formula": "NaAc2Cu3Sn4",
  "functional": "GGA-PBE",
  "state": "optimized geometry",
  "energy_ev_per_cell": -41.5,
  "formation_enthalpy_0k_ev_per_fu": -3.6,
  "density_g_cm3": 7.73,
  "lattice_angstrom": [[4.650, 0.000, 0.000], [0.000, 4.650, 0.000], [0.000, 0.000, 11.342]],
  "species": ["Na", "Cu", "Cu", "Cu", "Ac", "Ac", "Sn", "Sn", "Sn", "Sn"],
  "frac_coords": [[0.500, 0.500, 0.500], [0.000, 0.500, 0.125], [0.500, 0.000, 0.875], [0.000, 0.000, 0.500], [0.500, 0.000, 0.244], [0.000, 0.500, 0.756], [0.500, 0.000, 0.645], [0.000, 0.000, 0.000], [0.500, 0.500, 0.000], [0.000, 0.500, 0.355]]
}

=====

# 4
{
  "formula": "NaAcCuSn2",
  "functional": "GGA-PBE",
  "state": "optimized geometry",
  "energy_ev_per_cell": -37.8,
  "formation_enthalpy_0k_ev_per_fu": -1.4,
  "density_g_cm3": 6.79,
  "lattice_angstrom": [[-5.042, 1.633, 4.037], [-3.718, -2.618, -3.584], [0.854, -5.989, 3.489]],
  "species": ["Sn", "Sn", "Sn", "Sn", "Na", "Na", "Ac", "Ac", "Cu", "Cu"],
  "frac_coords": [[0.775, 0.250, 0.763], [0.775, 0.250, 0.237], [0.225, 0.750, 0.763], [0.225, 0.750, 0.237], [0.625, 0.750, 0.000], [0.375, 0.250, 0.000], [0.246, 0.250, 0.500], [0.754, 0.750, 0.500], [0.000, 0.500, 0.000], [0.000, 0.000, 0.000]]
}

=====

# 5
{
  "formula": "AcNbCu",
  "functional": "GGA-PBE",
  "state": "optimized geometry",
  "energy_ev_per_cell": -34.9,
  "formation_enthalpy_0k_ev_per_fu": 0.8,
  "density_g_cm3": 8.87,
  "lattice_angstrom": [[5.115, 0.000, 0.000], [-2.557, 2.555, 0.000], [0.000, 0.000, 10.983]],
  "species": ["Ac", "Ac", "Nb", "Nb", "Cu", "Cu"],
  "frac_coords": [[0.694, 0.389, 0.684], [0.694, 0.389, 0.316], [0.195, 0.389, 0.108], [0.195, 0.389, 0.892], [0.695, 0.389, 0.000], [0.194, 0.388, 0.500]]
}

=====

# 6
{
  "formula": "AcNb3Cu4O12",
  "functional": "GGA-PBE",
  "state": "optimized geometry",
  "energy_ev_per_cell": -148.3,
  "formation_energy_uncorrected_ev_per_atom": -1.90,
  "density_g_cm3": 5.83,
  "lattice_angstrom": [[6.843, -0.158, -0.220], [-1.802, 6.603, -0.220], [-1.802, -2.305, 6.192]],
  "species": ["Nb", "Nb", "Nb", "O", "O", "O", "O", "O", "O", "O", "O", "O", "O", "O", "O", "Cu", "Cu", "Cu", "Cu", "Ac"],
  "frac_coords": [[0.000, 0.564, 0.436], [0.564, 0.436, 0.000], [0.436, 0.000, 0.564], [0.999, 0.647, 0.735], [0.500, 0.099, 0.901], [0.735, 0.999, 0.647], [0.901, 0.500, 0.099], [0.328, 0.672, 0.500], [0.353, 0.001, 0.265], [0.647, 0.735, 0.999], [0.099, 0.901, 0.500], [0.001, 0.265, 0.353], [0.672, 0.500, 0.328], [0.500, 0.328, 0.672], [0.265, 0.353, 0.001], [0.500, 0.500, 0.500], [0.914, 0.086, 0.500], [0.086, 0.500, 0.914], [0.500, 0.914, 0.086], [0.000, 0.000, 0.000]]
}

=====

# 7
{
  "formula": "AcNbCuO5",
  "functional": "GGA-PBE",
  "state": "optimized geometry",
  "energy_ev_per_cell": -123.5,
  "formation_energy_uncorrected_ev_per_atom": -2.34,
  "density_g_cm3": 6.82,
  "lattice_angstrom": [[-0.387, -0.653, 5.784], [2.341, -4.675, -2.587], [5.789, 4.854, -0.446]],
  "species": ["O", "O", "O", "O", "O", "O", "O", "O", "O", "O", "Ac", "Ac", "Cu", "Cu", "Nb", "Nb"],
  "frac_coords": [[0.639, 0.724, 0.932], [0.116, 0.722, 0.914], [0.884, 0.278, 0.086], [0.361, 0.276, 0.068], [0.066, 0.934, 0.250], [0.722, 0.116, 0.414], [0.276, 0.361, 0.568], [0.934, 0.066, 0.750], [0.724, 0.639, 0.432], [0.278, 0.884, 0.586], [0.669, 0.331, 0.750], [0.331, 0.669, 0.250], [0.675, 0.325, 0.250], [0.325, 0.675, 0.750], [0.000, 0.000, 0.500], [0.000, 0.000, 0.000]]
}

=====

# 8
{
  "formula": "Ac2NdCu2",
  "functional": "GGA-PBE",
  "state": "optimized geometry",
  "energy_ev_per_cell": -42.8,
  "polymorph_energy_mev_per_atom": 0,
  "formation_enthalpy_0k_ev_per_fu": -0.2,
  "density_g_cm3": 7.85,
  "lattice_angstrom": [[-3.832, -1.570, -0.006], [0.657, -1.629, 6.177], [-4.765, 11.642, -2.034]],
  "species": ["Ac", "Ac", "Ac", "Ac", "Cu", "Cu", "Cu", "Cu", "Nd", "Nd"],
  "frac_coords": [[0.750, 0.237, 0.123], [0.750, 0.710, 0.443], [0.250, 0.763, 0.877], [0.250, 0.290, 0.557], [0.250, 0.838, 0.644], [0.750, 0.627, 0.022], [0.250, 0.373, 0.978], [0.750, 0.162, 0.356], [0.750, 0.171, 0.790], [0.250, 0.829, 0.210]]
}